[1]
Material: Cs2GaC
Method: DFT, GGA-PBE
State: relaxed

Calculated values
Total moment   1.0 μB/cell
V   153.09 Å³/cell
SG   Fm-3m, No. 225
DFT formation energy   1.424 eV/atom

a = 6.0046 Å, b = 6.0046 Å, c = 6.0046 Å
α = 60.00°, β = 60.00°, γ = 60.00°
Closest atoms and distances in Å follow each position.
Fractional coordinates of all 4 atoms:
Cs 0.2500 0.2500 0.2500  4 C 3.68, 4 Ga 3.68
Cs 0.7500 0.7500 0.7500  4 Ga 3.68, 4 C 3.68
Ga 0.0000 0.0000 0.0000  8 Cs 3.68
C 0.5000 0.5000 0.5000  8 Cs 3.68

[2]
Material: Ru2PbSe
Method: DFT, GGA-PBE
State: relaxed

Calculated values
Total moment   0.0 μB/cell
ΔE to the lowest computed polymorph   425.9 meV/atom
V   72.62 Å³/cell
SG   Pmmm, No. 47

a = 3.1326 Å, b = 4.3522 Å, c = 5.3267 Å
α = 90.00°, β = 90.00°, γ = 90.00°
Closest atoms and distances in Å follow each position.
Fractional coordinates of all 4 atoms:
Ru 0.0000 0.0000 0.0000  4 Se 2.68
Ru 0.5000 0.0000 0.5000  4 Pb 2.68
Pb 0.0000 0.5000 0.5000  4 Ru 2.68
Se 0.5000 0.5000 0.0000  4 Ru 2.68

[3]
Material: Sr2Ge4Pd
Method: DFT, GGA-PBE
State: relaxed

Calculated values
Total moment   0.0 μB/cell
V   193.33 Å³/cell
SG   I4/mmm, No. 139
DFT formation energy   -0.139 eV/atom

a = 8.9651 Å, b = 8.9651 Å, c = 8.9651 Å
α = 148.75°, β = 148.75°, γ = 44.78°
Closest atoms and distances in Å follow each position.
Fractional coordinates of all 7 atoms:
Sr 0.1535 0.1535 0.0000  9 Ge 3.19-3.51
Sr 0.8465 0.8465 0.0000  9 Ge 3.19-3.51
Ge 0.0000 0.5000 0.5000  2 Pd 2.41
Ge 0.3462 0.3462 0.0000  1 Pd 2.55
Ge 0.5000 0.0000 0.5000  2 Pd 2.41
Ge 0.6538 0.6538 0.0000  1 Pd 2.55
Pd 0.5000 0.5000 0.0000  6 Ge 2.41-2.55

Number 1: E_tot -0.1518 Ry/atom. Number 2: E_tot -0.4248 Ry/atom. Number 3: E_tot -0.2940 Ry/atom.